# 1
{"formula": "SrSnSb2Te", "functional": "PBE", "state": "relaxed", "lattice": [[-5.563, -1.878, -1.163], [-0.059, -3.106, 5.300], [-2.209, 4.811, 2.795]], "species": ["Sb", "Sb", "Te", "Sn", "Sr"], "frac_coords": [[0.000, 0.000, 0.500], [0.500, 0.000, 0.000], [0.500, 0.500, 0.500], [0.000, 0.500, 0.000], [0.000, 0.000, 0.000]], "polymorph_energy_ev_per_fu": 4.35, "total_magnetization_mub_per_fu": 0.00, "total_energy_ev_per_cell": -12.76, "e_form_raw_ev_per_atom": 0.86, "crystal_system": "tetragonal", "spacegroup": "P4/mmm", "n_ef_per_ev_atom": 1.23}

# 2
{"formula": "SrSnSb2Te", "functional": "PBE", "state": "relaxed", "lattice": [[-0.464, -5.918, -0.609], [5.649, -0.629, 1.816], [-1.880, -0.439, 5.698]], "species": ["Sb", "Sb", "Te", "Sn", "Sr"], "frac_coords": [[0.000, 0.500, 0.000], [0.500, 0.000, 0.000], [0.000, 0.000, 0.500], [0.500, 0.500, 0.500], [0.000, 0.000, 0.000]], "polymorph_energy_ev_per_fu": 2.99, "total_magnetization_mub_per_fu": 0.00, "total_energy_ev_per_cell": -14.12, "e_form_raw_ev_per_atom": 0.59, "crystal_system": "tetragonal", "spacegroup": "P4/mmm", "n_ef_per_ev_atom": 1.08}